# NbCrO2F GGA+U relaxed
# - crystal system = tetragonal
# - raw total energy (Ha/atom) = -0.2808
# - magnetization (μB per formula unit) = 5.5
data_NbCrO2F
_chemical_formula_sum 'Nb1 Cr1 O2 F1'
_cell_length_a 4.0191
_cell_length_b 4.0191
_cell_length_c 4.2455
_cell_angle_alpha 90.00
_cell_angle_beta 90.00
_cell_angle_gamma 90.00
_space_group_name_H-M_alt 'P 4/m m m'
_space_group_IT_number 123
_space_group_name_Hall '-P 4 2'
loop_
_atom_site_label
_atom_site_type_symbol
_atom_site_fract_x
_atom_site_fract_y
_atom_site_fract_z
Nb1 Nb 0.0000 0.0000 0.0000
Cr1 Cr 0.5000 0.5000 0.5000
O1 O 0.0000 0.5000 0.0000
F1 F 0.0000 0.0000 0.5000